VASP calculation (GGA-PBE) on an optimized crystal structure of Ta6Te3S.

## Properties
Volume   1424 Å³ per cell
Size of the total moment   0.000 μB per atom
DFT total energy   -8.862 eV per atom

a = 10.1572 Å, b = 10.3809 Å, c = 13.9071 Å
α = 79.42°, β = 81.56°, γ = 85.96°
With the nearest neighbours (Å) after each atom.
Space group P-1 (No. 2)
Asymmetric unit:
1 Ta 0.0000 0.0000 0.0000 (multiplicity 1)  6 Ta 2.69-2.91
2 Ta 0.0000 0.0000 0.5000 (multiplicity 1)  8 Ta 2.76-3.07, 2 Te 2.87
3 Ta 0.0270 0.9018 0.1890 (multiplicity 2)  7 Ta 2.69-2.94, 1 Te 2.81
4 Ta 0.0497 0.5091 0.5927 (multiplicity 2)  7 Ta 2.85-3.15, 3 Te 2.86-2.93
5 Ta 0.0575 0.7937 0.8538 (multiplicity 2)  3 S 2.49-2.56
6 Ta 0.0695 0.7598 0.3926 (multiplicity 2)  5 Ta 2.73-3.04, 2 Te 2.87-2.89
7 Ta 0.0725 0.2654 0.9317 (multiplicity 2)  1 S 2.63, 1 Te 2.84, 4 Ta 2.86-2.94
8 Ta 0.1003 0.7572 0.6360 (multiplicity 2)  1 S 2.63, 1 Te 2.83, 2 Ta 2.85-2.86
9 Ta 0.1032 0.6301 0.2215 (multiplicity 2)  9 Ta 2.80-3.09, 2 Te 2.84-3.05
10 Ta 0.1157 0.5185 0.8094 (multiplicity 2)  1 S 2.47
11 Ta 0.1181 0.4985 0.0379 (multiplicity 2)  2 S 2.47-2.51, 1 Ta 2.75
12 Ta 0.1307 0.0651 0.3098 (multiplicity 2)  5 Ta 2.77-2.99, 3 Te 2.82-3.05
13 Ta 0.1341 0.3562 0.2504 (multiplicity 2)  1 S 2.53, 1 Ta 2.80
14 Ta 0.1450 0.0329 0.6462 (multiplicity 2)  1 S 2.43
15 Ta 0.1459 0.2483 0.4644 (multiplicity 2)  5 Ta 2.73-3.05, 3 Te 2.89-2.91
16 Ta 0.1664 0.2838 0.7070 (multiplicity 2)  3 Te 2.83-3.02, 8 Ta 2.86-3.11
17 Ta 0.2114 0.7796 0.0261 (multiplicity 2)  1 S 2.52
18 Ta 0.2369 0.0226 0.8385 (multiplicity 2)  1 S 2.52, 1 Ta 2.80
19 Ta 0.2644 0.0570 0.0328 (multiplicity 2)  1 S 2.47
20 Te 0.2301 0.5172 0.4069 (multiplicity 2)  5 Ta 2.87-3.05
21 Te 0.2648 0.8844 0.4689 (multiplicity 2)  4 Ta 2.83-3.05
22 Te 0.2977 0.8600 0.2112 (multiplicity 2)  4 Ta 2.81-3.11
23 Te 0.3076 0.5382 0.6429 (multiplicity 2)  4 Ta 2.79-3.02
24 Te 0.3472 0.5307 0.1283 (multiplicity 2)  4 Ta 2.84-3.05
25 Te 0.3476 0.2604 0.8563 (multiplicity 2)  4 Ta 2.84-2.99
26 Te 0.3597 0.2038 0.3106 (multiplicity 2)  3 Ta 2.82-2.89
27 Te 0.3694 0.1837 0.5746 (multiplicity 2)  3 Ta 2.81-2.90
28 Te 0.4577 0.8860 0.9267 (multiplicity 2)  4 Ta 2.86-3.07
29 S 0.1801 0.2608 0.0935 (multiplicity 2)  5 Ta 2.47-2.63
30 S 0.2515 0.6335 0.8978 (multiplicity 2)  4 Ta 2.47-2.56
31 S 0.2681 0.8483 0.7312 (multiplicity 2)  4 Ta 2.43-2.63



VASP calculation (GGA-PBE) on an optimized crystal structure of LiHgCl2.

## Properties
Energy above the most stable polymorph in this dataset   0.142 eV/f.u.
Volume   99 Å³ per cell
Size of the total moment   0.000 μB per atom
DFT total energy   -2.396 eV per atom

a = 4.0371 Å, b = 4.0371 Å, c = 6.0578 Å
α = 90.00°, β = 90.00°, γ = 90.00°
With the nearest neighbours (Å) after each atom.
Space group P4mm (No. 99)
Asymmetric unit:
1 Li 0.0000 0.0000 0.0000 (multiplicity 1)  1 Cl 2.45
2 Hg 0.5000 0.5000 0.5482 (multiplicity 1)  6 Cl 2.87-3.10
3 Cl 0.0000 0.0000 0.5961 (multiplicity 1)  1 Li 2.45
4 Cl 0.5000 0.5000 0.0593 (multiplicity 1)  4 Li 2.88, 2 Hg 2.96-3.10



VASP calculation (GGA-PBE) on an optimized crystal structure of Sr2MoSe.

## Properties
Volume   246 Å³ per cell
Size of the total moment   1.002 μB per atom
DFT total energy   -4.248 eV per atom

a = 4.5225 Å, b = 4.5225 Å, c = 12.0289 Å
α = 90.00°, β = 90.00°, γ = 90.00°
With the nearest neighbours (Å) after each atom.
Space group I-4m2 (No. 119)
Asymmetric unit:
1 Sr 0.0000 0.0000 0.0000 (multiplicity 2)  4 Se 3.20
2 Sr 0.0000 0.5000 0.2500 (multiplicity 2)  4 Mo 3.20
3 Mo 0.0000 0.5000 0.7500 (multiplicity 2)  4 Sr 3.20
4 Se 0.0000 0.0000 0.5000 (multiplicity 2)  4 Sr 3.20



VASP calculation (GGA-PBE) on an optimized crystal structure of CaGe2Br2.

## Properties
Energy above the most stable polymorph in this dataset   3.219 eV/f.u.
Volume   270 Å³ per cell
Size of the total moment   0.000 μB per atom
DFT total energy   -3.084 eV per atom

a = 8.3348 Å, b = 8.3348 Å, c = 3.8826 Å
α = 90.00°, β = 90.00°, γ = 90.00°
With the nearest neighbours (Å) after each atom.
Space group P4/mbm (No. 127)
Asymmetric unit:
1 Ca 0.0000 0.0000 0.0000 (multiplicity 2)  4 Br 3.21, 8 Ge 3.58
2 Ge 0.1990 0.3010 0.5000 (multiplicity 4)  2 Br 2.69
3 Br 0.1427 0.6427 0.0000 (multiplicity 4)  2 Ge 2.69



VASP calculation (GGA-PBE) on an optimized crystal structure of ScTa2Fe.

## Properties
Energy above the most stable polymorph in this dataset   0.425 eV/f.u.
Volume   135 Å³ per cell
Size of the total moment   0.053 μB per atom
DFT total energy   -9.523 eV per atom

a = 3.1272 Å, b = 4.7234 Å, c = 9.1378 Å
α = 90.00°, β = 90.00°, γ = 90.00°
With the nearest neighbours (Å) after each atom.
Space group Imm2 (No. 44)
Asymmetric unit:
1 Sc 0.0000 0.0000 0.0000 (multiplicity 2)  2 Fe 2.67, 6 Ta 2.86-2.99
2 Ta 0.0000 0.0000 0.5469 (multiplicity 2)  2 Fe 2.52
3 Ta 0.0000 0.5000 0.7785 (multiplicity 2)  4 Fe 2.84, 6 Ta 2.91-3.17, 4 Sc 2.99-3.11
4 Fe 0.0000 0.5000 0.2631 (multiplicity 2)  2 Ta 2.52, 2 Sc 2.67



VASP calculation (GGA-PBE) on an optimized crystal structure of K3ZrPb2S6.

## Properties
Volume   645 Å³ per cell
Size of the total moment   0.000 μB per atom
DFT total energy   -4.733 eV per atom

a = 7.1419 Å, b = 12.3653 Å, c = 7.6901 Å
α = 90.00°, β = 108.15°, γ = 90.00°
With the nearest neighbours (Å) after each atom.
Space group C2/m (No. 12)
Asymmetric unit:
1 K 0.0000 0.0000 0.0000 (multiplicity 2)  6 S 3.14-3.40
2 K 0.0000 0.3268 0.0000 (multiplicity 4)  6 S 3.15-3.33
3 Zr 0.0000 0.5000 0.5000 (multiplicity 2)  6 S 2.62
4 Pb 0.0000 0.1658 0.5000 (multiplicity 4)  6 S 2.91-2.92
5 S 0.2188 0.3491 0.7038 (multiplicity 8)  1 Zr 2.62, 2 Pb 2.91-2.92
6 S 0.2318 0.5000 0.2953 (multiplicity 4)  1 Zr 2.62, 2 Pb 2.91